Entry from Alexandria via LeMat-Bulk: an optimized crystal structure of SrSiAg (PBE).

## Properties
- symmetry = No. 216
- DOS at the Fermi energy (states/eV/f.u.) = 3.05
- formation energy (no corrections) (eV per formula unit) = 1.601
- total moment (μB per cell) = 0.89
- calculated volume (Å³ per atom) = 31.0
- final energy (eV per atom) = -2.78

a = 5.0852 Å, b = 5.0852 Å, c = 5.0852 Å
α = 60.00°, β = 60.00°, γ = 60.00°
Closest atoms and distances in Å follow each position.
Element x y z (fractional)
1 Ag 0.0000 0.0000 0.0000  4 Sr 3.11
2 Si 0.5000 0.5000 0.5000  4 Sr 3.11
3 Sr 0.7500 0.7500 0.7500  4 Ag 3.11, 4 Si 3.11